[1]
Compound: Zn3Hg
Source: Alexandria via LeMat-Bulk
Functional: GGA-PBEsol
Structure: relaxed

The structure in POSCAR format:
```
Zn3Hg
1.0
-0.5198 1.3983 3.1931
1.2935 -2.9205 1.4895
4.8761 2.0963 -0.1242
Zn Hg
3 1
direct
0.5000 0.5000 0.7377
0.5000 0.5000 0.2623
0.0000 0.0000 0.5000
0.0000 0.0000 0.0000
```

***

[2]
Compound: ZnHg2
Source: Alexandria via LeMat-Bulk
Functional: GGA-PBEsol
Structure: relaxed

The structure in POSCAR format:
```
ZnHg2
1.0
5.1068 0.0000 0.0000
2.5534 4.8471 0.0000
2.5534 0.0000 4.8471
Hg Zn
4 2
direct
0.3455 0.8090 0.5000
0.1545 0.5000 0.1910
0.6545 0.1910 0.5000
0.8455 0.5000 0.8090
0.7500 0.0000 0.0000
0.2500 0.0000 0.0000
```

***

[3]
Compound: Zn5Hg
Source: Alexandria via LeMat-Bulk
Functional: GGA-PBEsol
Structure: relaxed

The structure in POSCAR format:
```
Zn5Hg
1.0
2.8323 0.0000 0.0000
0.0000 2.8323 0.0000
0.0000 0.0000 11.7072
Hg Zn
1 5
direct
0.5000 0.5000 0.5000
0.5000 0.5000 0.1560
0.5000 0.5000 0.8440
0.0000 0.0000 0.6928
0.0000 0.0000 0.0000
0.0000 0.0000 0.3072
```

***

[4]
Compound: ZnHg2
Source: Alexandria via LeMat-Bulk
Functional: GGA-PBEsol
Structure: relaxed

The structure in POSCAR format:
```
ZnHg2
1.0
-0.7458 -3.5025 0.0180
4.6827 -0.9664 5.9793
-7.4018 1.5820 1.1510
Zn Hg
3 6
direct
0.5000 0.0000 0.0000
0.0000 0.6667 0.3333
0.0000 0.3333 0.6667
0.0000 0.7194 0.7194
0.5000 0.3868 0.3868
0.5000 0.0000 0.6132
0.0000 0.0000 0.2806
0.0000 0.2806 0.0000
0.5000 0.6132 0.0000
```

***

[5]
Compound: ZnHg2
Source: Alexandria via LeMat-Bulk
Functional: GGA-PBEsol
Structure: relaxed

The structure in POSCAR format:
```
ZnHg2
1.0
-1.6261 -1.4683 2.4621
0.2414 -1.4852 -2.9322
5.4495 -2.8567 1.8956
Zn Hg
1 2
direct
0.0000 0.0000 0.0000
0.3333 0.6667 0.6849
0.6667 0.3333 0.3151
```

***

[6]
Compound: Zn3Hg
Source: Alexandria via LeMat-Bulk
Functional: GGA-PBEsol
Structure: relaxed

The structure in POSCAR format:
```
Zn3Hg
1.0
-1.7417 2.5961 1.4980
-3.8547 -1.6231 -1.6689
0.7107 -1.8552 4.0413
Zn Hg
3 1
direct
0.5000 0.5000 0.0000
0.5000 0.0000 0.5000
0.0000 0.5000 0.5000
0.0000 0.0000 0.0000
```

***

[7]
Compound: ZnHg2
Source: Alexandria via LeMat-Bulk
Functional: GGA-PBEsol
Structure: relaxed

The structure in POSCAR format:
```
ZnHg2
1.0
-1.4481 -0.5603 -3.2740
-2.6326 -2.8596 1.6537
-5.4367 5.8198 1.4087
Hg Zn
4 2
direct
0.5000 0.6072 0.1674
0.0000 0.1072 0.3326
0.0000 0.8928 0.6674
0.5000 0.3928 0.8326
0.5000 0.5000 0.5000
0.0000 0.0000 0.0000
```

***

[8]
Compound: Zn3Hg
Source: Alexandria via LeMat-Bulk
Functional: GGA-PBEsol
Structure: relaxed

The structure in POSCAR format:
```
Zn3Hg
1.0
3.0238 0.0000 -0.0206
0.0000 4.6577 0.0000
-0.7239 0.0000 4.8085
Zn Hg
3 1
direct
0.7896 0.5000 0.7260
0.5000 0.0000 0.5000
0.2104 0.5000 0.2740
0.0000 0.0000 0.0000
```

***

[9]
Compound: ZnHg4
Source: Alexandria via LeMat-Bulk
Functional: GGA-PBEsol
Structure: relaxed

The structure in POSCAR format:
```
ZnHg4
1.0
-7.1120 4.3036 1.5141
3.7668 -1.8822 7.3255
5.1959 4.7137 -4.7093
Hg Zn
16 4
direct
0.7500 0.5000 0.2500
0.0000 0.4010 0.0000
0.6778 0.0000 0.6778
0.0000 0.6778 0.6778
0.2500 0.5000 0.7500
0.0000 0.3222 0.3222
0.5000 0.7500 0.2500
0.4010 0.0000 0.0000
0.5990 0.5990 0.5990
0.2500 0.7500 0.5000
0.7500 0.2500 0.5000
0.0000 0.0000 0.4010
0.5000 0.2500 0.7500
0.3222 0.0000 0.3222
0.6778 0.6778 0.0000
0.3222 0.3222 0.0000
0.0000 0.0000 0.7092
0.7092 0.0000 0.0000
0.0000 0.7092 0.0000
0.2908 0.2908 0.2908
```

***

[10]
Compound: Zn3Hg
Source: Alexandria via LeMat-Bulk
Functional: GGA-PBEsol
Structure: relaxed

The structure in POSCAR format:
```
Zn3Hg
1.0
4.6056 0.0000 0.0000
0.0000 5.3560 0.0000
0.0000 0.0000 5.3625
Zn Hg
6 2
direct
0.3324 0.0000 0.5000
0.6676 0.5000 0.0000
0.8376 0.7598 0.5000
0.1624 0.2598 0.0000
0.8376 0.2402 0.5000
0.1624 0.7402 0.0000
0.3389 0.5000 0.5000
0.6611 0.0000 0.0000
```

***

[11]
Compound: Zn3Hg
Source: Alexandria via LeMat-Bulk
Functional: GGA-PBEsol
Structure: relaxed

The structure in POSCAR format:
```
Zn3Hg
1.0
5.0573 0.0000 0.0000
0.0000 5.0573 0.0000
0.0000 0.0000 5.0573
Zn Hg
6 2
direct
0.2500 0.5000 0.0000
0.5000 0.0000 0.7500
0.7500 0.5000 0.0000
0.0000 0.2500 0.5000
0.0000 0.7500 0.5000
0.5000 0.0000 0.2500
0.5000 0.5000 0.5000
0.0000 0.0000 0.0000
```

***

[12]
Compound: ZnHg2
Source: Alexandria via LeMat-Bulk
Functional: GGA-PBEsol
Structure: relaxed

The structure in POSCAR format:
```
ZnHg2
1.0
-0.9456 -1.4068 -2.6686
3.5823 -2.7735 0.1928
-2.4269 -2.9662 2.4237
Hg Zn
2 1
direct
0.5000 0.0000 0.5000
0.5000 0.5000 0.0000
0.0000 0.0000 0.0000
```

***

Calculated total energy, respectively: -1.26; -0.87; -1.34; -0.84; -0.85; -1.25; -0.84; -1.25; -0.67; -1.27; -1.26; -0.85 eV/atom.
DOS(E_F), respectively: 1.01; 1.61; 1.90; 2.77; 0.85; 1.21; 1.86; 1.06; 9.22; 1.41; 1.82; 1.01 states/eV per cell.